Entry 1:
Zn3HSe | PBE | optimized geometry

Cell lengths 4.225, 4.225, 4.225 Å; angles 90.00, 90.00, 90.00 degrees
Fractional coordinates of all 5 atoms:
H: 0.000 0.000 0.000
Zn: 0.000 0.500 0.000
Zn: 0.000 0.000 0.500
Zn: 0.500 0.000 0.000
Se: 0.500 0.500 0.500

* polymorph energy (0 for the lowest one): 0 meV/atom
* Fermi-level density of states: 1.9 states/eV/cell
* final energy: -9.3 eV per formula unit
* ρ: 6083 kg/m³

---

Entry 2:
Sc2Zn2Ir | PBE | optimized geometry

Cell lengths 3.142, 3.955, 7.179 Å; angles 74.01, 90.00, 90.00 degrees
Fractional coordinates of all 5 atoms:
Sc: 0.500 0.394 0.212
Sc: 0.500 0.606 0.788
Zn: 0.000 0.198 0.604
Zn: 0.000 0.802 0.396
Ir: 0.000 0.000 0.000

* polymorph energy (0 for the lowest one): 0 meV/atom
* Fermi-level density of states: 2.2 states/eV/cell
* final energy: -26.8 eV per formula unit
* ρ: 7995 kg/m³

---

Entry 3:
CaPb2Au3 | PBE | optimized geometry

Cell lengths 5.115, 5.115, 12.605 Å; angles 90.00, 90.00, 120.00 degrees
Fractional coordinates of all 12 atoms:
Ca: 0.333 0.667 0.662
Ca: 0.667 0.333 0.338
Pb: 0.000 0.000 0.500
Pb: 0.333 0.667 0.170
Pb: 0.667 0.333 0.830
Pb: 0.000 0.000 0.000
Au: 0.333 0.667 0.415
Au: 0.667 0.333 0.093
Au: 0.000 0.000 0.742
Au: 0.000 0.000 0.258
Au: 0.333 0.667 0.907
Au: 0.667 0.333 0.585

* Fermi-level density of states: 4.6 states/eV/cell
* final energy: -21.4 eV per formula unit
* ρ: 12155 kg/m³

---

Entry 4:
ZnF | PBE | optimized geometry

Cell lengths 2.943, 7.224, 8.491 Å; angles 90.00, 90.00, 90.00 degrees
Fractional coordinates of all 12 atoms:
Zn: 0.000 0.253 0.766
Zn: 0.000 0.747 0.766
Zn: 0.000 0.753 0.266
Zn: 0.000 0.247 0.266
Zn: 0.500 0.000 0.905
Zn: 0.500 0.500 0.405
F: 0.500 0.691 0.601
F: 0.500 0.309 0.601
F: 0.500 0.191 0.101
F: 0.500 0.809 0.101
F: 0.000 0.000 0.362
F: 0.000 0.500 0.862

* Fermi-level density of states: 1.6 states/eV/cell
* final energy: -6.2 eV per formula unit
* ΔE_f (raw): -148 kJ/mol of atoms
* ρ: 4658 kg/m³

---

Entry 5:
BeSbOs | PBE | optimized geometry

Cell lengths 4.029, 4.029, 3.345 Å; angles 90.00, 90.00, 120.00 degrees
Fractional coordinates of all 3 atoms:
Sb: 0.333 0.667 0.667
Os: 0.667 0.333 0.167
Be: 0.000 0.000 0.166

* polymorph energy (0 for the lowest one): 142 meV/atom
* Fermi-level density of states: 2.9 states/eV/cell
* final energy: -17.8 eV per formula unit
* ΔE_f (raw): 41 kJ/mol of atoms
* ρ: 11337 kg/m³

---

Entry 6:
Nd12InGa6 | PBE | optimized geometry

Cell lengths 9.045, 9.045, 9.045 Å; angles 109.47, 109.47, 109.47 degrees
Fractional coordinates of all 19 atoms:
Nd: 0.294 0.104 0.810
Nd: 0.294 0.483 0.190
Nd: 0.706 0.517 0.810
Nd: 0.706 0.896 0.190
Nd: 0.104 0.810 0.294
Nd: 0.483 0.190 0.294
Nd: 0.517 0.810 0.706
Nd: 0.896 0.190 0.706
Nd: 0.810 0.294 0.104
Nd: 0.190 0.294 0.483
Nd: 0.810 0.706 0.517
Nd: 0.190 0.706 0.896
In: 0.000 0.000 0.000
Ga: 0.380 0.500 0.880
Ga: 0.620 0.500 0.120
Ga: 0.500 0.880 0.380
Ga: 0.500 0.120 0.620
Ga: 0.880 0.380 0.500
Ga: 0.120 0.620 0.500

* Fermi-level density of states: 17.6 states/eV/cell
* final energy: -85.1 eV per formula unit
* ρ: 6599 kg/m³

---

Entry 7:
Fe2Te3 | PBE | optimized geometry

Cell lengths 6.497, 6.497, 6.497 Å; angles 61.67, 61.67, 61.67 degrees
Fractional coordinates of all 10 atoms:
Fe: 0.840 0.840 0.840
Fe: 0.160 0.160 0.160
Fe: 0.660 0.660 0.660
Fe: 0.340 0.340 0.340
Te: 0.073 0.750 0.427
Te: 0.250 0.573 0.927
Te: 0.750 0.427 0.073
Te: 0.927 0.250 0.573
Te: 0.427 0.073 0.750
Te: 0.573 0.927 0.250

* Fermi-level density of states: 4.8 states/eV/cell
* final energy: -26.6 eV per formula unit
* ΔE_f (raw): -4 kJ/mol of atoms
* ρ: 8162 kg/m³

---

Entry 8:
Dy3CdNi8 | PBE | optimized geometry

Cell lengths 5.016, 5.016, 8.725 Å; angles 73.30, 73.30, 60.00 degrees
Fractional coordinates of all 12 atoms:
Dy: 0.377 0.377 0.870
Dy: 0.994 0.994 0.017
Dy: 0.505 0.505 0.485
Cd: 0.873 0.873 0.382
Ni: 0.941 0.436 0.187
Ni: 0.438 0.937 0.688
Ni: 0.436 0.436 0.187
Ni: 0.937 0.937 0.688
Ni: 0.188 0.188 0.437
Ni: 0.688 0.688 0.937
Ni: 0.436 0.941 0.187
Ni: 0.937 0.438 0.688

* Fermi-level density of states: 8.8 states/eV/cell
* final energy: -65.9 eV per formula unit
* ρ: 9904 kg/m³